(1)
Hf3ZrRe | meta-GGA SCAN | single point on PBEsol structure

Cell lengths 4.8304, 4.8304, 4.8304 Å; angles 90.00, 90.00, 90.00 degrees
With the nearest neighbours (Å) after each atom.
Space group Pm-3m (No. 221)
Unique sites:
1 Hf 0.0000 0.0000 0.5000 (multiplicity 3)  2 Zr 2.42
2 Zr 0.0000 0.0000 0.0000 (multiplicity 1)  6 Hf 2.42
3 Re 0.5000 0.5000 0.5000 (multiplicity 1)  12 Hf 3.42

Summary:
The calculation puts the total energy at -56.1159 eV/atom. As for the calculated volume: 22.54 Å³ per atom. The formation energy comes out at 1.847 eV per atom.


(2)
Sc2BeP | meta-GGA SCAN | single point on PBEsol structure

Cell lengths 3.3283, 3.3283, 5.7023 Å; angles 90.00, 90.00, 90.00 degrees
With the nearest neighbours (Å) after each atom.
Space group P4/mmm (No. 123)
Unique sites:
1 Sc 0.0000 0.0000 0.2444 (multiplicity 2)  4 P 2.74, 4 Be 2.77, 2 Sc 2.79-2.92
2 Be 0.5000 0.5000 0.5000 (multiplicity 1)  8 Sc 2.77, 2 P 2.85
3 P 0.5000 0.5000 0.0000 (multiplicity 1)  8 Sc 2.74, 2 Be 2.85

Summary:
The calculation puts the total energy at -11.4359 eV/atom. As for the calculated volume: 15.79 Å³ per atom. As for the energy above the most stable polymorph in this dataset: 306 meV/atom. The formation energy comes out at -0.629 eV per atom.


(3)
Cr5As | meta-GGA SCAN | single point on PBEsol structure

Cell lengths 8.8559, 2.9211, 5.6203 Å; angles 90.00, 108.88, 90.00 degrees
With the nearest neighbours (Å) after each atom.
Space group C2/m (No. 12)
Unique sites:
1 Cr 0.0000 0.0000 0.0000 (multiplicity 2)  8 Cr 2.46-2.47
2 Cr 0.1686 0.5000 0.8398 (multiplicity 4)  6 Cr 2.40-2.46, 2 As 2.48
3 Cr 0.1725 0.5000 0.3330 (multiplicity 4)  6 Cr 2.42-2.47, 2 As 2.51
4 As 0.0000 0.0000 0.5000 (multiplicity 2)  10 Cr 2.48-2.74

Summary:
The calculation puts the total energy at -18.6834 eV/atom. As for the calculated volume: 11.46 Å³ per atom. The formation energy comes out at 0.002 eV per atom.


(4)
HoErCd2 | meta-GGA SCAN | single point on PBEsol structure

Cell lengths 7.3023, 7.3023, 7.3023 Å; angles 90.00, 90.00, 90.00 degrees
With the nearest neighbours (Å) after each atom.
Space group Fm-3m (No. 225)
Unique sites:
1 Ho 0.0000 0.0000 0.0000 (multiplicity 4)  8 Cd 3.16
2 Er 0.0000 0.0000 0.5000 (multiplicity 4)  8 Cd 3.16
3 Cd 0.2500 0.2500 0.2500 (multiplicity 8)  4 Ho 3.16, 4 Er 3.16

Summary:
The calculation puts the total energy at -40.4681 eV/atom. As for the calculated volume: 24.34 Å³ per atom. The formation energy comes out at -0.429 eV per atom.


(5)
KHfAsBr2 | meta-GGA SCAN | single point on PBEsol structure

Cell lengths 5.3508, 5.3508, 5.1172 Å; angles 90.00, 90.00, 90.00 degrees
With the nearest neighbours (Å) after each atom.
Space group P4/mmm (No. 123)
Unique sites:
1 K 0.0000 0.0000 0.0000 (multiplicity 1)  8 Br 3.70, 4 As 3.78
2 Hf 0.5000 0.5000 0.5000 (multiplicity 1)  2 As 2.56, 4 Br 2.68
3 As 0.5000 0.5000 0.0000 (multiplicity 1)  2 Hf 2.56
4 Br 0.0000 0.5000 0.5000 (multiplicity 2)  2 Hf 2.68

Summary:
The calculation puts the total energy at -27.0513 eV/atom. As for the calculated volume: 29.30 Å³ per atom. Its uncorrected formation energy is -1.03 eV/atom.


(6)
BaNaRu2N | meta-GGA SCAN | single point on PBEsol structure

Cell lengths 4.0404, 4.0404, 5.3053 Å; angles 90.00, 90.00, 90.00 degrees
With the nearest neighbours (Å) after each atom.
Space group P4/mmm (No. 123)
Unique sites:
1 Ba 0.0000 0.0000 0.0000 (multiplicity 1)  2 N 2.65, 4 Na 2.86
2 Na 0.5000 0.5000 0.0000 (multiplicity 1)  4 Ba 2.86
3 Ru 0.0000 0.5000 0.5000 (multiplicity 2)  2 N 2.02
4 N 0.0000 0.0000 0.5000 (multiplicity 1)  4 Ru 2.02

Summary:
The calculation puts the total energy at -24.1861 eV/atom. As for the calculated volume: 17.32 Å³ per atom. Its uncorrected formation energy is 0.36 eV/atom.


(7)
Ca2YCo | meta-GGA SCAN | single point on PBEsol structure

Cell lengths 6.1035, 10.9193, 3.4596 Å; angles 90.00, 116.27, 90.00 degrees
With the nearest neighbours (Å) after each atom.
Space group C2/m (No. 12)
Unique sites:
1 Ca 0.2500 0.2500 0.0000 (multiplicity 4)  2 Ca 3.05, 2 Co 3.23, 2 Y 3.23
2 Y 0.0000 0.0000 0.5000 (multiplicity 2)  2 Co 3.05, 4 Ca 3.23
3 Co 0.0000 0.5000 0.5000 (multiplicity 2)  2 Y 3.05, 4 Ca 3.23

Summary:
The calculation puts the total energy at -15.5649 eV/atom. As for the calculated volume: 25.85 Å³ per atom. As for the energy above the most stable polymorph in this dataset: 302 meV/atom. The formation energy comes out at 0.554 eV per atom.


(8)
TaIn2Mo | meta-GGA SCAN | single point on PBEsol structure

Cell lengths 2.8796, 2.8796, 9.2968 Å; angles 90.00, 90.00, 90.00 degrees
With the nearest neighbours (Å) after each atom.
Space group P4mm (No. 99)
Unique sites:
1 Ta 0.0000 0.0000 0.0000 (multiplicity 1)  4 Ta 2.88, 4 Mo 2.94, 4 In 3.04
2 In 0.0000 0.0000 0.5402 (multiplicity 1)  4 In 2.88, 4 Mo 2.97
3 In 0.5000 0.5000 0.2423 (multiplicity 1)  4 In 2.88, 4 Ta 3.04
4 Mo 0.5000 0.5000 0.7726 (multiplicity 1)  4 Mo 2.88, 4 Ta 2.94, 4 In 2.97

Summary:
The calculation puts the total energy at -41.6828 eV/atom. As for the calculated volume: 19.27 Å³ per atom. As for the energy above the most stable polymorph in this dataset: 152 meV/atom. The formation energy comes out at 0.378 eV per atom.


(9)
PHRuS2 | meta-GGA SCAN | single point on PBEsol structure

Cell lengths 4.3000, 4.3000, 3.1151 Å; angles 90.00, 90.00, 90.00 degrees
With the nearest neighbours (Å) after each atom.
Space group P4/mmm (No. 123)
Unique sites:
1 P 0.0000 0.0000 0.0000 (multiplicity 1)  2 H 1.56
2 H 0.0000 0.0000 0.5000 (multiplicity 1)  2 P 1.56
3 Ru 0.5000 0.5000 0.0000 (multiplicity 1)  8 S 2.65
4 S 0.0000 0.5000 0.5000 (multiplicity 2)  2 H 2.15

Summary:
The calculation puts the total energy at -12.7029 eV/atom. As for the calculated volume: 11.52 Å³ per atom. As for the energy above the most stable polymorph in this dataset: 0 meV/atom.


(10)
Ta2BeZn | meta-GGA SCAN | single point on PBEsol structure

Cell lengths 2.7779, 3.7280, 5.5814 Å; angles 90.00, 90.71, 90.00 degrees
With the nearest neighbours (Å) after each atom.
Space group P2/m (No. 10)
Unique sites:
1 Ta 0.0045 0.0000 0.2583 (multiplicity 2)  4 Be 2.67-2.70, 4 Ta 2.70-2.88, 4 Zn 2.73-2.74
2 Be 0.5000 0.5000 0.5000 (multiplicity 1)  8 Ta 2.67-2.70, 2 Be 2.78, 2 Zn 2.79
3 Zn 0.5000 0.5000 0.0000 (multiplicity 1)  8 Ta 2.73-2.74, 2 Zn 2.78, 2 Be 2.79

Summary:
The calculation puts the total energy at -37.7652 eV/atom. As for the calculated volume: 14.45 Å³ per atom. As for the energy above the most stable polymorph in this dataset: 0 meV/atom. The formation energy comes out at -0.006 eV per atom.


(11)
TlAgSb | meta-GGA SCAN | single point on PBEsol structure

Cell lengths 4.9156, 4.9156, 3.5130 Å; angles 90.00, 90.00, 120.00 degrees
With the nearest neighbours (Å) after each atom.
Space group P3m1 (No. 156)
Unique sites:
1 Tl 0.0000 0.0000 0.0000 (multiplicity 1)  6 Ag 3.33-3.34, 6 Sb 3.34, 2 Tl 3.51
2 Ag 0.6667 0.3333 0.4972 (multiplicity 1)  3 Sb 2.84
3 Sb 0.3333 0.6667 0.4992 (multiplicity 1)  3 Ag 2.84

Summary:
The calculation puts the total energy at -46.8989 eV/atom. As for the calculated volume: 24.50 Å³ per atom. Its uncorrected formation energy is 0.10 eV/atom. As for the energy above the most stable polymorph in this dataset: 0 meV/atom.


(12)
SrTl2Sb | meta-GGA SCAN | single point on PBEsol structure

Cell lengths 4.2198, 5.1531, 10.9458 Å; angles 90.00, 90.00, 90.00 degrees
With the nearest neighbours (Å) after each atom.
Space group Immm (No. 71)
Unique sites:
1 Sr 0.0000 0.0000 0.0000 (multiplicity 2)  4 Sb 3.33, 8 Tl 3.60-3.64
2 Tl 0.0000 0.5000 0.2291 (multiplicity 4)  2 Sb 3.28, 4 Tl 3.36, 4 Sr 3.60-3.64
3 Sb 0.0000 0.0000 0.5000 (multiplicity 2)  4 Tl 3.28, 4 Sr 3.33

Summary:
The calculation puts the total energy at -51.5131 eV/atom. As for the calculated volume: 29.75 Å³ per atom. Its uncorrected formation energy is -0.45 eV/atom. As for the energy above the most stable polymorph in this dataset: 56 meV/atom.


(13)
Tm2GeO5 | meta-GGA SCAN | single point on PBEsol structure

Cell lengths 10.0739, 3.6223, 10.8967 Å; angles 90.00, 90.00, 90.00 degrees
With the nearest neighbours (Å) after each atom.
Space group Pnma (No. 62)
Unique sites:
1 Tm 0.1117 0.2500 0.2215 (multiplicity 4)  7 O 2.24-2.34
2 Tm 0.1355 0.2500 0.5553 (multiplicity 4)  7 O 2.25-2.31
3 Ge 0.1739 0.2500 0.8795 (multiplicity 4)  5 O 1.74-1.91
4 O 0.0047 0.2500 0.8452 (multiplicity 4)  1 Ge 1.74
5 O 0.0079 0.7500 0.6051 (multiplicity 4)  4 Tm 2.24-2.29
6 O 0.2238 0.2500 0.0393 (multiplicity 4)  1 Ge 1.81
7 O 0.2342 0.7500 0.8817 (multiplicity 4)  2 Ge 1.91
8 O 0.2439 0.7500 0.2293 (multiplicity 4)  1 Ge 1.83

Summary:
The calculation puts the total energy at -22.4847 eV/atom. As for the calculated volume: 12.43 Å³ per atom. Its uncorrected formation energy is -3.25 eV/atom. As for the energy above the most stable polymorph in this dataset: 3 meV/atom.


(14)
AlTcOs | meta-GGA SCAN | single point on PBEsol structure

Cell lengths 2.8773, 2.8773, 9.9290 Å; angles 90.00, 90.00, 90.00 degrees
With the nearest neighbours (Å) after each atom.
Space group I4mm (No. 107)
Unique sites:
1 Al 0.0000 0.0000 0.0000 (multiplicity 2)  4 Os 2.61, 4 Tc 2.64, 4 Al 2.88
2 Tc 0.0000 0.0000 0.3311 (multiplicity 2)  4 Os 2.62, 4 Al 2.64, 4 Tc 2.88
3 Os 0.0000 0.0000 0.6649 (multiplicity 2)  4 Al 2.61, 4 Tc 2.62, 4 Os 2.88

Summary:
The calculation puts the total energy at -38.6910 eV/atom. As for the calculated volume: 13.70 Å³ per atom. As for the energy above the most stable polymorph in this dataset: 0 meV/atom. The formation energy comes out at -0.460 eV per atom.